(1)
Density functional theory data (meta-GGA SCAN) for a PBEsol-optimized structure of YHg2BPt.

Cell and atoms, written as POSCAR:
```
YHg2BPt
1.0
-0.650 2.596 2.979
1.697 -3.520 3.437
4.846 1.820 -0.529
Y B Hg Pt
1 1 2 1
Direct
0.500 0.500 0.500
0.500 0.000 0.000
0.000 0.000 0.500
0.000 0.500 0.000
0.000 0.000 0.000
```

For the density of states at the Fermi level, the calculation gives 3.0 states/eV/cell. The total energy comes out at -48.34 eV/atom. As for the energy of formation from the pure elements: 0.018 eV/atom.

(2)
Density functional theory data (meta-GGA SCAN) for a PBEsol-optimized structure of Rb2HgB.

Cell and atoms, written as POSCAR:
```
Rb2HgB
1.0
5.742 0.000 0.000
2.871 4.973 0.000
2.871 1.658 4.688
B Hg Rb
1 1 2
Direct
0.000 0.000 0.000
0.500 0.500 0.500
0.250 0.250 0.250
0.750 0.750 0.750
```

For the density of states at the Fermi level, the calculation gives 2.8 states/eV/cell. The total energy comes out at -28.49 eV/atom. As for the energy of formation from the pure elements: 0.777 eV/atom.

(3)
Density functional theory data (meta-GGA SCAN) for a PBEsol-optimized structure of RbHgB2.

Cell and atoms, written as POSCAR:
```
RbHgB2
1.0
4.762 0.000 0.000
0.000 4.762 0.000
-2.381 -2.381 7.425
B Hg Rb
4 2 2
Direct
0.625 0.875 0.750
0.125 0.875 0.750
0.125 0.875 0.250
0.125 0.375 0.250
0.000 0.000 0.000
0.250 0.750 0.500
0.500 0.500 0.000
0.750 0.250 0.500
```

For the density of states at the Fermi level, the calculation gives 3.5 states/eV/cell. The total energy comes out at -24.72 eV/atom. As for the energy of formation from the pure elements: 1.216 eV/atom.

(4)
Density functional theory data (meta-GGA SCAN) for a PBEsol-optimized structure of Rb2HgB9Se9.

Cell and atoms, written as POSCAR:
```
Rb2HgB9Se9
1.0
-7.891 0.370 5.792
5.750 -8.953 0.104
5.717 6.624 7.130
Rb Hg B Se
4 2 18 18
Direct
0.780 0.161 0.007
0.220 0.839 0.993
0.187 0.346 0.516
0.813 0.654 0.484
0.309 0.296 0.083
0.691 0.704 0.917
0.514 0.166 0.551
0.486 0.834 0.449
0.668 0.131 0.589
0.332 0.869 0.411
0.489 0.051 0.649
0.511 0.949 0.351
0.335 0.004 0.537
0.665 0.996 0.463
0.418 0.055 0.404
0.582 0.945 0.596
0.622 0.132 0.436
0.378 0.868 0.564
0.760 0.437 0.708
0.240 0.563 0.292
0.246 0.082 0.779
0.754 0.918 0.221
0.564 0.275 0.262
0.436 0.725 0.738
0.554 0.370 0.624
0.446 0.630 0.376
0.849 0.304 0.698
0.151 0.696 0.302
0.454 0.112 0.821
0.546 0.888 0.179
0.155 0.021 0.607
0.845 0.979 0.393
0.352 0.141 0.287
0.648 0.859 0.713
0.745 0.286 0.349
0.255 0.714 0.651
0.887 0.640 0.795
0.113 0.360 0.205
0.114 0.100 0.900
0.886 0.900 0.100
0.599 0.398 0.150
0.401 0.602 0.850
```

For the density of states at the Fermi level, the calculation gives 0.0 states/eV/cell. For the formation energy without anion corrections, the calculation gives -10.86 eV/f.u. The total energy comes out at -17.53 eV/atom.

(5)
Density functional theory data (meta-GGA SCAN) for a PBEsol-optimized structure of Rb2SiHgB.

Cell and atoms, written as POSCAR:
```
Rb2SiHgB
1.0
-1.897 -1.642 4.020
0.076 -6.141 -2.473
6.067 -0.925 2.485
Si B Hg Rb
1 1 1 2
Direct
0.500 0.000 0.000
0.500 0.500 0.500
0.000 0.000 0.000
0.000 0.000 0.500
0.000 0.500 0.000
```

For the density of states at the Fermi level, the calculation gives 4.1 states/eV/cell. For the formation energy without anion corrections, the calculation gives 5.48 eV/f.u. The total energy comes out at -24.32 eV/atom.

(6)
Density functional theory data (meta-GGA SCAN) for a PBEsol-optimized structure of HgB2Rh.

Cell and atoms, written as POSCAR:
```
HgB2Rh
1.0
-2.097 4.557 -0.401
-3.490 -1.308 3.381
5.580 -0.035 2.000
B Rh Hg
4 2 2
Direct
0.433 0.875 0.250
0.817 0.375 0.250
0.125 0.183 0.750
0.625 0.567 0.750
0.750 0.250 0.500
0.500 0.500 0.000
0.250 0.750 0.500
0.000 0.000 0.000
```

For the density of states at the Fermi level, the calculation gives 2.6 states/eV/cell. The total energy comes out at -28.59 eV/atom. As for the energy of formation from the pure elements: 0.609 eV/atom.

(7)
Density functional theory data (meta-GGA SCAN) for a PBEsol-optimized structure of SiHgB2Rh.

Cell and atoms, written as POSCAR:
```
SiHgB2Rh
1.0
3.945 0.000 0.000
0.000 3.945 0.000
0.000 0.000 4.688
Si B Rh Hg
1 2 1 1
Direct
0.000 0.000 0.000
0.000 0.500 0.000
0.500 0.000 0.000
0.000 0.000 0.500
0.500 0.500 0.500
```

For the density of states at the Fermi level, the calculation gives 2.2 states/eV/cell. For the formation energy without anion corrections, the calculation gives 5.30 eV/f.u. The total energy comes out at -24.30 eV/atom.

(8)
Density functional theory data (meta-GGA SCAN) for a PBEsol-optimized structure of Ti2HgBS.

Cell and atoms, written as POSCAR:
```
Ti2HgBS
1.0
4.136 0.000 0.000
0.000 4.414 0.000
0.000 0.000 4.414
S B Hg Ti
1 1 1 2
Direct
0.500 0.500 0.500
0.000 0.000 0.000
0.500 0.000 0.000
0.000 0.000 0.500
0.000 0.500 0.000
```

For the density of states at the Fermi level, the calculation gives 3.7 states/eV/cell. For the formation energy without anion corrections, the calculation gives 0.20 eV/f.u. The total energy comes out at -23.42 eV/atom.

(9)
Density functional theory data (meta-GGA SCAN) for a PBEsol-optimized structure of HgB2Sb.

Cell and atoms, written as POSCAR:
```
HgB2Sb
1.0
-3.305 1.395 3.887
-4.127 -1.302 -3.041
3.864 -4.778 1.401
Sb B Hg
2 4 2
Direct
0.750 0.250 0.500
0.500 0.500 0.000
0.872 0.375 0.250
0.378 0.875 0.250
0.625 0.622 0.750
0.125 0.128 0.750
0.250 0.750 0.500
0.000 0.000 0.000
```

For the density of states at the Fermi level, the calculation gives 3.4 states/eV/cell. For the formation energy without anion corrections, the calculation gives 3.86 eV/f.u. The total energy comes out at -29.11 eV/atom.

(10)
Density functional theory data (meta-GGA SCAN) for a PBEsol-optimized structure of HgBSb2Te.

Cell and atoms, written as POSCAR:
```
HgBSb2Te
1.0
-4.012 -3.094 -1.902
3.270 -4.311 0.113
-1.640 -1.106 5.260
Sb B Te Hg
2 1 1 1
Direct
0.000 0.500 0.000
0.500 0.000 0.000
0.500 0.500 0.500
0.000 0.000 0.500
0.000 0.000 0.000
```

For the density of states at the Fermi level, the calculation gives 4.4 states/eV/cell. For the formation energy without anion corrections, the calculation gives 8.42 eV/f.u. The total energy comes out at -35.79 eV/atom.

(11)
Density functional theory data (meta-GGA SCAN) for a PBEsol-optimized structure of Si3HgB.

Cell and atoms, written as POSCAR:
```
Si3HgB
1.0
4.211 0.000 0.000
0.000 4.211 0.000
0.000 0.000 4.211
Si B Hg
3 1 1
Direct
0.000 0.500 0.000
0.000 0.000 0.500
0.500 0.000 0.000
0.000 0.000 0.000
0.500 0.500 0.500
```

For the density of states at the Fermi level, the calculation gives 1.6 states/eV/cell. For the formation energy without anion corrections, the calculation gives 4.25 eV/f.u. The total energy comes out at -20.28 eV/atom.

(12)
Density functional theory data (meta-GGA SCAN) for a PBEsol-optimized structure of SrSnHgB2.

Cell and atoms, written as POSCAR:
```
SrSnHgB2
1.0
-3.437 3.504 -0.094
-1.617 -1.702 -4.312
-3.605 -3.464 2.719
Sr B Hg Sn
1 2 1 1
Direct
0.000 0.000 0.000
0.000 0.500 0.000
0.500 0.000 0.000
0.000 0.000 0.500
0.500 0.500 0.500
```

For the density of states at the Fermi level, the calculation gives 4.2 states/eV/cell. The total energy comes out at -26.25 eV/atom. As for the energy of formation from the pure elements: 1.992 eV/atom.

(13)
Density functional theory data (meta-GGA SCAN) for a PBEsol-optimized structure of SrHg2B.

Cell and atoms, written as POSCAR:
```
SrHg2B
1.0
4.986 0.000 0.000
2.493 4.318 0.000
2.493 1.439 4.071
Sr B Hg
1 1 2
Direct
0.500 0.500 0.500
0.000 0.000 0.000
0.250 0.250 0.250
0.750 0.750 0.750
```

For the density of states at the Fermi level, the calculation gives 1.8 states/eV/cell. The total energy comes out at -41.00 eV/atom. As for the energy of formation from the pure elements: 0.507 eV/atom.

(14)
Density functional theory data (meta-GGA SCAN) for a PBEsol-optimized structure of TaHg3B.

Cell and atoms, written as POSCAR:
```
TaHg3B
1.0
-1.418 -3.391 3.813
3.582 -3.480 -1.763
3.634 2.107 3.225
B Hg Ta
1 3 1
Direct
0.500 0.500 0.500
0.000 0.500 0.000
0.000 0.000 0.500
0.500 0.000 0.000
0.000 0.000 0.000
```

For the density of states at the Fermi level, the calculation gives 6.3 states/eV/cell. The total energy comes out at -53.94 eV/atom. As for the energy of formation from the pure elements: 1.764 eV/atom.

(15)
Density functional theory data (meta-GGA SCAN) for a PBEsol-optimized structure of Tl2HgBW.

Cell and atoms, written as POSCAR:
```
Tl2HgBW
1.0
-4.956 0.258 1.845
0.239 -5.288 1.381
1.910 1.376 4.938
Tl B Hg W
2 1 1 1
Direct
0.000 0.000 0.500
0.000 0.500 0.000
0.500 0.500 0.500
0.000 0.000 0.000
0.500 0.000 0.000
```

For the density of states at the Fermi level, the calculation gives 3.4 states/eV/cell. The total energy comes out at -55.58 eV/atom. As for the energy of formation from the pure elements: 2.421 eV/atom.

(16)
Density functional theory data (meta-GGA SCAN) for a PBEsol-optimized structure of YHg3B.

Cell and atoms, written as POSCAR:
```
YHg3B
1.0
-3.075 4.813 0.024
-1.851 -1.208 5.266
4.443 2.827 2.210
Y B Hg
1 1 3
Direct
0.000 0.000 0.000
0.500 0.500 0.500
0.000 0.500 0.000
0.000 0.000 0.500
0.500 0.000 0.000
```

For the density of states at the Fermi level, the calculation gives 4.6 states/eV/cell. The total energy comes out at -46.61 eV/atom. As for the energy of formation from the pure elements: 1.348 eV/atom.

(17)
Density functional theory data (meta-GGA SCAN) for a PBEsol-optimized structure of HoB12.

Cell and atoms, written as POSCAR:
```
HoB12
1.0
5.267 0.000 0.000
2.633 4.561 0.000
2.633 1.520 4.300
B Ho
12 1
Direct
0.162 0.838 0.500
0.500 0.838 0.500
0.500 0.838 0.162
0.500 0.500 0.838
0.162 0.500 0.838
0.500 0.162 0.838
0.500 0.500 0.162
0.500 0.162 0.500
0.162 0.500 0.500
0.838 0.162 0.500
0.838 0.500 0.162
0.838 0.500 0.500
0.000 0.000 0.000
```

For the density of states at the Fermi level, the calculation gives 0.4 states/eV/cell. The total energy comes out at -10.93 eV/atom. As for the energy of formation from the pure elements: -0.302 eV/atom.

(18)
Density functional theory data (meta-GGA SCAN) for a PBEsol-optimized structure of HoB2.

Cell and atoms, written as POSCAR:
```
HoB2
1.0
3.259 0.000 0.000
-1.630 2.822 0.000
0.000 0.000 3.794
B Ho
2 1
Direct
0.333 0.667 0.500
0.667 0.333 0.500
0.000 0.000 0.000
```

For the density of states at the Fermi level, the calculation gives 0.8 states/eV/cell. The total energy comes out at -21.96 eV/atom. As for the energy of formation from the pure elements: -0.676 eV/atom.

(19)
Density functional theory data (meta-GGA SCAN) for a PBEsol-optimized structure of HoB6.

Cell and atoms, written as POSCAR:
```
HoB6
1.0
-3.633 1.820 -0.205
-1.136 -1.883 3.423
1.436 3.113 2.189
B Ho
6 1
Direct
0.199 0.500 0.500
0.500 0.801 0.500
0.500 0.199 0.500
0.801 0.500 0.500
0.500 0.500 0.199
0.500 0.500 0.801
0.000 0.000 0.000
```

For the density of states at the Fermi level, the calculation gives 0.9 states/eV/cell. The total energy comes out at -13.80 eV/atom. As for the energy of formation from the pure elements: -0.436 eV/atom.

(20)
Density functional theory data (meta-GGA SCAN) for a PBEsol-optimized structure of HoB2Ir3.

Cell and atoms, written as POSCAR:
```
HoB2Ir3
1.0
-2.612 -1.725 0.003
1.922 -2.919 -4.113
1.005 -1.511 5.083
B Ho Ir
2 1 3
Direct
0.000 0.333 0.667
0.000 0.667 0.333
0.000 0.000 0.000
0.500 0.500 0.000
0.500 0.000 0.500
0.500 0.500 0.500
```

For the density of states at the Fermi level, the calculation gives 1.5 states/eV/cell. The total energy comes out at -47.02 eV/atom. As for the energy of formation from the pure elements: -0.829 eV/atom.

(21)
Density functional theory data (meta-GGA SCAN) for a PBEsol-optimized structure of HoMgB5O10.

Cell and atoms, written as POSCAR:
```
HoMgB5O10
1.0
7.583 0.000 0.000
0.000 8.451 0.046
0.000 0.637 9.354
Ho Mg B O
4 4 20 40
Direct
0.813 0.184 0.758
0.187 0.816 0.242
0.313 0.316 0.742
0.687 0.684 0.258
0.093 0.905 0.630
0.907 0.095 0.370
0.593 0.595 0.870
0.407 0.405 0.130
0.175 0.019 0.898
0.825 0.981 0.102
0.675 0.481 0.602
0.325 0.519 0.398
0.426 0.916 0.747
0.574 0.084 0.253
0.926 0.584 0.753
0.074 0.416 0.247
0.189 0.564 0.910
0.811 0.436 0.090
0.689 0.936 0.590
0.311 0.064 0.410
0.533 0.276 0.444
0.467 0.724 0.556
0.033 0.224 0.056
0.967 0.776 0.944
0.397 0.835 0.010
0.603 0.165 0.990
0.897 0.665 0.490
0.103 0.335 0.510
0.093 0.510 0.798
0.907 0.490 0.202
0.593 0.990 0.702
0.407 0.010 0.298
0.125 0.679 0.991
0.875 0.321 0.009
0.625 0.821 0.509
0.375 0.179 0.491
0.611 0.320 0.580
0.389 0.680 0.420
0.111 0.180 0.920
0.889 0.820 0.080
0.295 0.039 0.774
0.705 0.961 0.226
0.795 0.461 0.726
0.205 0.539 0.274
0.350 0.491 0.926
0.650 0.509 0.074
0.850 0.009 0.574
0.150 0.991 0.426
0.231 0.451 0.524
0.769 0.549 0.476
0.731 0.049 0.976
0.269 0.951 0.024
0.350 0.820 0.639
0.650 0.180 0.361
0.850 0.680 0.861
0.150 0.320 0.139
0.467 0.811 0.878
0.533 0.189 0.122
0.967 0.689 0.622
0.033 0.311 0.378
0.056 0.250 0.631
0.944 0.750 0.369
0.556 0.250 0.869
0.444 0.750 0.131
0.028 0.917 0.852
0.972 0.083 0.148
0.528 0.583 0.648
0.472 0.417 0.352
```

For the density of states at the Fermi level, the calculation gives 0.0 states/eV/cell. For the formation energy without anion corrections, the calculation gives -50.16 eV/f.u. The total energy comes out at -11.98 eV/atom.

no.,size of the total moment (μB per formula unit)
1,0.00
2,2.70
3,0.00
4,0.00
5,0.94
6,0.00
7,0.00
8,2.53
9,0.00
10,0.00
11,0.00
12,0.00
13,0.00
14,0.00
15,3.50
16,2.32
17,0.00
18,0.00
19,0.00
20,0.00
21,0.00